Run a
A geometry-optimized K2NaF3 structure, computed with PBE.

Unit cell a=5.2545 b=7.2388 c=6.3768 alpha=106.48 beta=114.33 gamma=90.00
Closest atoms and distances in Å follow each position.
Fractional positions:
F (0.8532, 0.9266, 0.7067)  2 Na 2.43, 2 K 2.64
K (0.6680, 0.5841, 0.3363)  6 F 2.59-2.73
F (0.1468, 0.0734, 0.2933)  2 Na 2.43, 2 K 2.64
K (0.6683, 0.0841, 0.3363)  6 F 2.59-2.73
K (0.3317, 0.9159, 0.6637)  6 F 2.59-2.73
F (0.8535, 0.4266, 0.7067)  2 Na 2.43, 2 K 2.64
F (0.5005, 0.7500, 0.0000)  4 K 2.59, 2 Na 2.62-2.63
F (0.4995, 0.2500, 0.0000)  4 K 2.59, 2 Na 2.62-2.63
Na (0.0003, 0.2500, 0.0000)  6 F 2.43-2.63
F (0.1465, 0.5734, 0.2933)  2 Na 2.43, 2 K 2.64
K (0.3320, 0.4159, 0.6637)  6 F 2.59-2.73
Na (0.9997, 0.7500, 0.0000)  6 F 2.43-2.63

**DOS(E_F)**: 0.00 states/eV/cell

Run b
A geometry-optimized K2NaF3 structure, computed with PBE.

Unit cell a=8.1554 b=8.1554 c=8.1554 alpha=153.66 beta=153.66 gamma=37.60
Closest atoms and distances in Å follow each position.
Fractional positions:
Na (0.0000, 0.0000, 0.0000)  6 F 2.39-2.63
K (0.6646, 0.6646, 0.0000)  6 F 2.54-2.79
K (0.3354, 0.3354, 0.0000)  6 F 2.54-2.79
F (0.5000, 0.5000, 0.0000)  2 K 2.54, 4 Na 2.63
F (0.1546, 0.1546, 0.0000)  1 Na 2.39, 4 K 2.63
F (0.8454, 0.8454, 0.0000)  1 Na 2.39, 4 K 2.63

**DOS(E_F)**: 0.00 states/eV/cell

Which is most stable? The ranking, best first, is run a, run b.

Run a
A geometry-optimized KNa2F2 structure, computed with PBE.

Unit cell a=4.4264 b=4.4264 c=7.3331 alpha=72.43 beta=72.43 gamma=90.00
Closest atoms and distances in Å follow each position.
Fractional positions:
Na (0.7500, 0.2500, 0.5000)  4 F 2.30
Na (0.2500, 0.7500, 0.5000)  4 F 2.30
F (0.2034, 0.2034, 0.5932)  4 Na 2.30
K (0.0000, 0.0000, 0.0000)  2 F 2.70
F (0.7966, 0.7966, 0.4068)  4 Na 2.30

**DOS(E_F)**: 0.88 states/eV/cell

Run b
A geometry-optimized KNa2F2 structure, computed with PBE.

Unit cell a=7.7758 b=7.7758 c=4.2421 alpha=90.00 beta=90.00 gamma=90.00
Closest atoms and distances in Å follow each position.
Fractional positions:
Na (0.8350, 0.3350, 0.5000)  2 F 2.20
F (0.7816, 0.2816, 0.0000)  2 Na 2.20
Na (0.3350, 0.1650, 0.5000)  2 F 2.20
F (0.2816, 0.2184, 0.0000)  2 Na 2.20
Na (0.6650, 0.8350, 0.5000)  2 F 2.20
F (0.2184, 0.7184, 0.0000)  2 Na 2.20
K (0.0000, 0.0000, 0.0000)  4 F 2.77
Na (0.1650, 0.6650, 0.5000)  2 F 2.20
K (0.5000, 0.5000, 0.0000)  4 F 2.77
F (0.7184, 0.7816, 0.0000)  2 Na 2.20

**DOS(E_F)**: 2.30 states/eV/cell

Which is most stable? The ranking, best first, is run a, run b.

Run a
A geometry-optimized KNa3F structure, computed with PBE.

Unit cell a=5.3841 b=5.3841 c=5.3841 alpha=90.00 beta=90.00 gamma=90.00
Closest atoms and distances in Å follow each position.
Fractional positions:
Na (0.0000, 0.0000, 0.5000)  2 F 2.69
Na (0.5000, 0.0000, 0.0000)  2 F 2.69
K (0.5000, 0.5000, 0.5000)  12 Na 3.81
F (0.0000, 0.0000, 0.0000)  6 Na 2.69
Na (0.0000, 0.5000, 0.0000)  2 F 2.69

**DOS(E_F)**: 2.25 states/eV/cell

Run b
A geometry-optimized KNa3F structure, computed with PBE.

Unit cell a=6.6462 b=6.6462 c=6.6462 alpha=90.00 beta=90.00 gamma=90.00
Closest atoms and distances in Å follow each position.
Fractional positions:
K (0.0000, 0.0000, 0.0000)  6 Na 3.32
Na (0.0000, 0.5000, 0.0000)  2 K 3.32
F (0.5000, 0.5000, 0.5000)  12 Na 4.70
Na (0.5000, 0.0000, 0.0000)  2 K 3.32
Na (0.0000, 0.0000, 0.5000)  2 K 3.32

**DOS(E_F)**: 5.92 states/eV/cell

Which is most stable? The ranking, best first, is run a, run b.

Run a
A geometry-optimized KNa2F3 structure, computed with PBE.

Unit cell a=3.5575 b=3.5575 c=7.8171 alpha=103.15 beta=103.15 gamma=90.00
Closest atoms and distances in Å follow each position.
Fractional positions:
Na (0.7629, 0.7643, 0.5311)  6 F 2.27-2.54
F (0.9340, 0.9359, 0.8739)  4 K 2.52, 2 Na 2.54
F (0.6095, 0.6106, 0.2245)  5 Na 2.27-2.52
Na (0.1058, 0.1072, 0.2168)  6 F 2.27-2.54
F (0.2590, 0.2601, 0.5234)  5 Na 2.27-2.52
K (0.4341, 0.4360, 0.8740)  6 F 2.52-2.59

**DOS(E_F)**: 0.00 states/eV/cell

Run b
A geometry-optimized KNa2F3 structure, computed with PBE.

Unit cell a=3.2742 b=5.9848 c=9.3347 alpha=90.00 beta=90.00 gamma=90.00
Closest atoms and distances in Å follow each position.
Fractional positions:
F (0.5000, 0.7651, 0.2963)  4 Na 2.28-2.54
Na (0.5000, 0.0119, 0.5171)  6 F 2.31-2.54
F (0.5000, 0.6568, 0.9211)  2 Na 2.32
F (0.0000, 0.2569, 0.4050)  5 Na 2.23-2.43
F (0.0000, 0.7569, 0.5950)  5 Na 2.23-2.43
K (0.0000, 0.5036, 0.1351)  7 F 2.70-2.92
F (0.5000, 0.1568, 0.0789)  2 Na 2.32
Na (0.0000, 0.0070, 0.2272)  5 F 2.23-2.32
Na (0.5000, 0.5119, 0.4829)  6 F 2.31-2.54
Na (0.0000, 0.5070, 0.7728)  5 F 2.23-2.32
K (0.0000, 0.0036, 0.8649)  7 F 2.70-2.92
F (0.5000, 0.2651, 0.7037)  4 Na 2.28-2.54

**DOS(E_F)**: 0.00 states/eV/cell

Which is most stable? The ranking, best first, is run a, run b.

Run a
A geometry-optimized K2NaF2 structure, computed with PBE.

Unit cell a=7.6222 b=7.6222 c=3.6918 alpha=90.00 beta=90.00 gamma=90.00
Closest atoms and distances in Å follow each position.
Fractional positions:
Na (0.0000, 0.0000, 0.0000)  4 F 2.86
K (0.1484, 0.6484, 0.5000)  6 F 2.77-2.99
F (0.3400, 0.8400, 0.0000)  6 K 2.77-2.99, 2 Na 2.86
K (0.6484, 0.8516, 0.5000)  6 F 2.77-2.99
K (0.3516, 0.1484, 0.5000)  6 F 2.77-2.99
Na (0.5000, 0.5000, 0.0000)  4 F 2.86
K (0.8516, 0.3516, 0.5000)  6 F 2.77-2.99
F (0.1600, 0.3400, 0.0000)  6 K 2.77-2.99, 2 Na 2.86
F (0.6600, 0.1600, 0.0000)  6 K 2.77-2.99, 2 Na 2.86
F (0.8400, 0.6600, 0.0000)  6 K 2.77-2.99, 2 Na 2.86

**DOS(E_F)**: 2.26 states/eV/cell

Run b
A geometry-optimized K2NaF2 structure, computed with PBE.

Unit cell a=4.9021 b=4.9021 c=7.5466 alpha=71.05 beta=71.05 gamma=90.00
Closest atoms and distances in Å follow each position.
Fractional positions:
K (0.6939, 0.6939, 0.6122)  4 F 2.56
F (0.7500, 0.2500, 0.5000)  4 K 2.56
F (0.2500, 0.7500, 0.5000)  4 K 2.56
K (0.3061, 0.3061, 0.3878)  4 F 2.56
Na (0.0000, 0.0000, 0.0000)  10 K 4.10-4.33, 8 F 4.15

**DOS(E_F)**: 1.32 states/eV/cell

Which is most stable? The ranking, best first, is run b, run a.

Run a
A geometry-optimized KNaF2 structure, computed with PBE.

Unit cell a=4.1746 b=4.1746 c=8.2481 alpha=90.00 beta=90.00 gamma=90.00
Closest atoms and distances in Å follow each position.
Fractional positions:
K (0.7500, 0.7500, 0.1675)  1 F 2.56
F (0.7500, 0.7500, 0.8571)  1 Na 2.21
Na (0.7500, 0.7500, 0.5889)  5 F 2.21
F (0.7500, 0.2500, 0.5000)  4 Na 2.21
Na (0.2500, 0.2500, 0.4111)  5 F 2.21
K (0.2500, 0.2500, 0.8325)  1 F 2.56
F (0.2500, 0.2500, 0.1429)  1 Na 2.21
F (0.2500, 0.7500, 0.5000)  4 Na 2.21

**DOS(E_F)**: 0.00 states/eV/cell

Run b
A geometry-optimized KNaF2 structure, computed with PBE.

Unit cell a=4.3709 b=4.3709 c=4.3709 alpha=60.00 beta=60.00 gamma=60.00
Closest atoms and distances in Å follow each position.
Fractional positions:
Na (0.0000, 0.0000, 0.0000)  8 F 2.68
F (0.2500, 0.2500, 0.2500)  4 K 2.68, 4 Na 2.68
K (0.5000, 0.5000, 0.5000)  8 F 2.68
F (0.7500, 0.7500, 0.7500)  4 K 2.68, 4 Na 2.68

**DOS(E_F)**: 0.00 states/eV/cell

Which is most stable? The ranking, best first, is run a, run b.

Run a
A geometry-optimized KNaF2 structure, computed with PBE.

Unit cell a=3.4936 b=3.4936 c=6.4163 alpha=74.20 beta=74.20 gamma=60.00
Closest atoms and distances in Å follow each position.
Fractional positions:
F (0.0730, 0.0730, 0.7812)  3 Na 2.40, 3 K 2.62
Na (0.6685, 0.6685, 0.9944)  6 F 2.40-2.44
K (0.4981, 0.4981, 0.5058)  6 F 2.62-2.67
F (0.2605, 0.2605, 0.2186)  3 Na 2.44, 3 K 2.67

**DOS(E_F)**: 0.00 states/eV/cell

Run b
A geometry-optimized KNaF2 structure, computed with PBE.

Unit cell a=5.6764 b=5.6764 c=6.5628 alpha=64.38 beta=64.38 gamma=90.00
Closest atoms and distances in Å follow each position.
Fractional positions:
K (0.7500, 0.2500, 0.5000)  4 F 2.57
F (0.5756, 0.1250, 0.2500)  2 Na 2.24
F (0.8750, 0.8256, 0.7500)  2 Na 2.24
K (0.0000, 0.0000, 0.0000)  4 F 2.57
Na (0.5000, 0.5000, 0.0000)  4 F 2.24
F (0.1744, 0.6250, 0.2500)  2 Na 2.24
F (0.3750, 0.4244, 0.7500)  2 Na 2.24
Na (0.2500, 0.7500, 0.5000)  4 F 2.24

**DOS(E_F)**: 0.00 states/eV/cell

Which is most stable? The ranking, best first, is run a, run b.

Run a
A geometry-optimized KNaOF2 structure, computed with PBE.

Unit cell a=4.4846 b=4.4846 c=4.3873 alpha=90.00 beta=90.00 gamma=90.00
Closest atoms and distances in Å follow each position.
Fractional positions:
O (0.0000, 0.0000, 0.5000)  2 Na 2.19
K (0.5000, 0.5000, 0.5000)  8 F 3.14, 4 O 3.17
Na (0.0000, 0.0000, 0.0000)  2 O 2.19, 4 F 2.24
F (0.5000, 0.0000, 0.0000)  2 Na 2.24
F (0.0000, 0.5000, 0.0000)  2 Na 2.24

**DOS(E_F)**: 0.54 states/eV/cell

Run b
A geometry-optimized KNaOF2 structure, computed with PBE.

Unit cell a=4.8956 b=4.8956 c=4.9096 alpha=90.00 beta=90.00 gamma=90.00
Closest atoms and distances in Å follow each position.
Fractional positions:
F (0.0000, 0.5000, 0.0000)  2 K 2.45
K (0.0000, 0.0000, 0.0000)  4 F 2.45, 2 O 2.45
O (0.0000, 0.0000, 0.5000)  2 K 2.45
Na (0.5000, 0.5000, 0.5000)  4 O 3.46, 8 F 3.47
F (0.5000, 0.0000, 0.0000)  2 K 2.45

**DOS(E_F)**: 8.52 states/eV/cell

Which is most stable? The ranking, best first, is run a, run b.

Run a
A geometry-optimized KNa2RhF6 structure, computed with PBE.

Unit cell a=5.8191 b=6.1991 c=8.4291 alpha=90.00 beta=89.08 gamma=90.00
Closest atoms and distances in Å follow each position.
Fractional positions:
Na (0.4989, 0.5294, 0.7835)  5 F 2.29-2.42
F (0.1415, 0.2525, 0.1228)  1 Rh 2.03
Rh (0.0000, 0.5000, 0.0000)  6 F 2.00-2.03
Na (0.5011, 0.4706, 0.2165)  5 F 2.29-2.42
K (0.0000, 0.5000, 0.5000)  4 F 2.47-2.77
F (0.8585, 0.7475, 0.8772)  1 Rh 2.03
K (0.5000, 0.0000, 0.0000)  4 F 2.47-2.77
Na (0.0011, 0.0294, 0.7165)  5 F 2.29-2.42
F (0.6301, 0.1342, 0.2984)  1 Rh 2.03
F (0.8039, 0.8527, 0.5235)  1 Rh 2.00
F (0.3039, 0.6473, 0.0235)  1 Rh 2.00
F (0.6415, 0.2475, 0.6228)  1 Rh 2.03
F (0.3699, 0.8658, 0.7016)  1 Rh 2.03
F (0.6961, 0.3527, 0.9765)  1 Rh 2.00
F (0.1301, 0.3658, 0.7984)  1 Rh 2.03
F (0.1961, 0.1473, 0.4765)  1 Rh 2.00
Rh (0.5000, 0.0000, 0.5000)  6 F 2.00-2.03
Na (0.9989, 0.9706, 0.2835)  5 F 2.29-2.42
F (0.8699, 0.6342, 0.2016)  1 Rh 2.03
F (0.3585, 0.7525, 0.3772)  1 Rh 2.03

**DOS(E_F)**: 0.00 states/eV/cell

Run b
A geometry-optimized KNa2RhF6 structure, computed with PBE.

Unit cell a=6.2755 b=6.2755 c=6.2755 alpha=60.00 beta=60.00 gamma=60.00
Closest atoms and distances in Å follow each position.
Fractional positions:
F (0.2252, 0.7748, 0.2252)  1 Rh 2.00
K (0.5000, 0.5000, 0.5000)  6 F 2.44
F (0.7748, 0.2252, 0.2252)  1 Rh 2.00
F (0.2252, 0.7748, 0.7748)  1 Rh 2.00
F (0.7748, 0.2252, 0.7748)  1 Rh 2.00
Na (0.7500, 0.7500, 0.7500)  12 F 3.15
F (0.7748, 0.7748, 0.2252)  1 Rh 2.00
F (0.2252, 0.2252, 0.7748)  1 Rh 2.00
Na (0.2500, 0.2500, 0.2500)  12 F 3.15
Rh (0.0000, 0.0000, 0.0000)  6 F 2.00

**DOS(E_F)**: 0.00 states/eV/cell

Which is most stable? The ranking, best first, is run a, run b.

Run a
A geometry-optimized KNa2TiF6 structure, computed with PBE.

Unit cell a=6.2839 b=6.2839 c=6.2839 alpha=60.00 beta=60.00 gamma=60.00
Closest atoms and distances in Å follow each position.
Fractional positions:
F (0.7787, 0.7787, 0.2213)  1 Ti 1.97
F (0.7787, 0.2213, 0.7787)  1 Ti 1.97
F (0.2213, 0.2213, 0.7787)  1 Ti 1.97
F (0.2213, 0.7787, 0.2213)  1 Ti 1.97
K (0.5000, 0.5000, 0.5000)  6 F 2.48
F (0.2213, 0.7787, 0.7787)  1 Ti 1.97
Na (0.7500, 0.7500, 0.7500)  12 F 3.15
Na (0.2500, 0.2500, 0.2500)  12 F 3.15
F (0.7787, 0.2213, 0.2213)  1 Ti 1.97
Ti (0.0000, 0.0000, 0.0000)  6 F 1.97

**DOS(E_F)**: 8.43 states/eV/cell

Run b
A geometry-optimized KNa2TiF6 structure, computed with PBE.

Unit cell a=5.8686 b=5.8503 c=6.2229 alpha=61.84 beta=62.01 gamma=59.82
Closest atoms and distances in Å follow each position.
Fractional positions:
F (0.5579, 0.2553, 0.2209)  1 Ti 2.01
F (0.1589, 0.3718, 0.7849)  1 Ti 2.00
Ti (0.3246, 0.3226, 0.0279)  6 F 2.00-2.01
F (0.6854, 0.1544, 0.7876)  1 Ti 2.00, 1 Na 2.24
F (0.2440, 0.9710, 0.2279)  1 Ti 2.00
K (0.8051, 0.8056, 0.5821)  6 F 2.54-2.78
F (0.3735, 0.6839, 0.7845)  1 Ti 2.01, 1 Na 2.24
Na (0.0157, 0.0129, 0.9563)  6 F 2.24-2.48
Na (0.5282, 0.5294, 0.4157)  6 F 2.33-2.49
F (0.9684, 0.5547, 0.2274)  1 Ti 2.01

**DOS(E_F)**: 7.03 states/eV/cell

Which is most stable? The ranking, best first, is run b, run a.

Run a
A geometry-optimized K2NaTlF6 structure, computed with PBE.

Unit cell a=6.2734 b=6.2734 c=6.2734 alpha=60.00 beta=60.00 gamma=60.00
Closest atoms and distances in Å follow each position.
Fractional positions:
F (0.7538, 0.7538, 0.2462)  1 Tl 2.18, 1 Na 2.25
F (0.2462, 0.2462, 0.7538)  1 Tl 2.18, 1 Na 2.25
F (0.7538, 0.2462, 0.2462)  1 Tl 2.18, 1 Na 2.25
Tl (0.0000, 0.0000, 0.0000)  6 F 2.18
F (0.7538, 0.2462, 0.7538)  1 Tl 2.18, 1 Na 2.25
K (0.2500, 0.2500, 0.2500)  12 F 3.14
Na (0.5000, 0.5000, 0.5000)  6 F 2.25
F (0.2462, 0.7538, 0.2462)  1 Tl 2.18, 1 Na 2.25
K (0.7500, 0.7500, 0.7500)  12 F 3.14
F (0.2462, 0.7538, 0.7538)  1 Tl 2.18, 1 Na 2.25

**DOS(E_F)**: 0.00 states/eV/cell

Run b
A geometry-optimized K2NaTlF6 structure, computed with PBE.

Unit cell a=6.1840 b=6.3037 c=8.7828 alpha=90.00 beta=89.71 gamma=90.00
Closest atoms and distances in Å follow each position.
Fractional positions:
Tl (0.5000, 0.0000, 0.5000)  6 F 2.20
K (0.5105, 0.5436, 0.7509)  6 F 2.69-2.97
K (0.4895, 0.4564, 0.2491)  6 F 2.69-2.97
F (0.4182, 0.9724, 0.7432)  1 Tl 2.20, 1 Na 2.32
Na (0.0000, 0.5000, 0.5000)  6 F 2.32-2.34
F (0.9182, 0.5276, 0.2432)  1 Tl 2.20, 1 Na 2.32
F (0.5818, 0.0276, 0.2568)  1 Tl 2.20, 1 Na 2.32
F (0.1986, 0.2168, 0.0447)  1 Tl 2.20, 1 Na 2.34
F (0.0818, 0.4724, 0.7568)  1 Tl 2.20, 1 Na 2.32
F (0.6986, 0.2832, 0.5447)  1 Tl 2.20, 1 Na 2.34
F (0.3014, 0.7168, 0.4553)  1 Tl 2.20, 1 Na 2.34
F (0.7852, 0.7989, 0.5412)  1 Tl 2.20, 1 Na 2.33
F (0.8014, 0.7832, 0.9553)  1 Tl 2.20, 1 Na 2.34
K (0.9895, 0.0436, 0.7491)  6 F 2.69-2.97
K (0.0105, 0.9564, 0.2509)  6 F 2.69-2.97
F (0.2148, 0.2011, 0.4588)  1 Tl 2.20, 1 Na 2.33
F (0.2852, 0.7011, 0.0412)  1 Tl 2.20, 1 Na 2.33
F (0.7148, 0.2989, 0.9588)  1 Tl 2.20, 1 Na 2.33
Tl (0.0000, 0.5000, 0.0000)  6 F 2.20
Na (0.5000, 0.0000, 0.0000)  6 F 2.32-2.34

**DOS(E_F)**: 0.00 states/eV/cell

Which is most stable? The ranking, best first, is run b, run a.

Run a
A geometry-optimized K2NbF2 structure, computed with PBE.

Unit cell a=5.2022 b=5.2022 c=6.6635 alpha=67.02 beta=67.02 gamma=90.00
Closest atoms and distances in Å follow each position.
Fractional positions:
F (0.1921, 0.1921, 0.6157)  1 Nb 2.13
K (0.2500, 0.7500, 0.5000)  4 F 2.68
K (0.7500, 0.2500, 0.5000)  4 F 2.68
F (0.8079, 0.8079, 0.3843)  1 Nb 2.13
Nb (0.0000, 0.0000, 0.0000)  2 F 2.13

**DOS(E_F)**: 12.21 states/eV/cell

Run b
A geometry-optimized K2NbF2 structure, computed with PBE.

Unit cell a=7.8861 b=7.8861 c=3.0839 alpha=90.00 beta=90.00 gamma=90.00
Closest atoms and distances in Å follow each position.
Fractional positions:
K (0.6395, 0.8605, 0.5000)  6 F 2.70-2.84
F (0.8380, 0.6620, 0.0000)  6 K 2.70-2.84, 2 Nb 2.96
Nb (0.0000, 0.0000, 0.0000)  4 F 2.96, 2 Nb 3.08
F (0.1620, 0.3380, 0.0000)  6 K 2.70-2.84, 2 Nb 2.96
F (0.6620, 0.1620, 0.0000)  6 K 2.70-2.84, 2 Nb 2.96
K (0.8605, 0.3605, 0.5000)  6 F 2.70-2.84
F (0.3380, 0.8380, 0.0000)  6 K 2.70-2.84, 2 Nb 2.96
K (0.1395, 0.6395, 0.5000)  6 F 2.70-2.84
Nb (0.5000, 0.5000, 0.0000)  4 F 2.96, 2 Nb 3.08
K (0.3605, 0.1395, 0.5000)  6 F 2.70-2.84

**DOS(E_F)**: 5.68 states/eV/cell

Which is most stable? The ranking, best first, is run a, run b.